PBE-GGA HPb3I, optimized geometry; density = 9.08 g/cm3; DFT total energy = -14.56 eV per cell; calculated volume = 137.0 Å³ per cell; space group = No. 221; energy relative to the lowest polymorph listed for this composition = 0.00 eV/f.u.
1.0
5.156 0.000 0.000
0.000 5.156 0.000
0.000 0.000 5.156
H Pb I
1 3 1
Direct
0.000 0.000 0.000 H
0.000 0.000 0.500 Pb
0.000 0.500 0.000 Pb
0.500 0.000 0.000 Pb
0.500 0.500 0.500 I